# PIrRu2, relaxed, DFT PBE
data_PIrRu2
_symmetry_space_group_name_H-M 'P m m m'
_symmetry_Int_Tables_number 47
_cell_length_a 2.765
_cell_length_b 3.593
_cell_length_c 5.532
_cell_angle_alpha 90.00
_cell_angle_beta 90.00
_cell_angle_gamma 90.00
loop_
_symmetry_equiv_pos_as_xyz
'x,y,z'
'-x,-y,-z'
'-x,-y,z'
'x,y,-z'
'x,-y,-z'
'-x,y,z'
'-x,y,-z'
'x,-y,z'
loop_
_atom_site_label
_atom_site_type_symbol
_atom_site_fract_x
_atom_site_fract_y
_atom_site_fract_z
P1 P 0.000 0.000 0.000
Ir1 Ir 0.000 0.000 0.500
Ru1 Ru 0.500 0.500 0.240
# Density of states at the Fermi level ... 4.00 states/eV/cell
# Magnetization ... 0.0 μB/f.u.
# Raw total energy ... -8.07 eV per atom
# E_form ... 0.6 eV/f.u.

***

# Ca4LaB3O10, relaxed, DFT PBE
data_Ca4LaB3O10
_symmetry_space_group_name_H-M 'C 1 m 1'
_symmetry_Int_Tables_number 8
_cell_length_a 8.217
_cell_length_b 16.229
_cell_length_c 3.652
_cell_angle_alpha 90.00
_cell_angle_beta 101.37
_cell_angle_gamma 90.00
loop_
_symmetry_equiv_pos_as_xyz
'x,y,z'
'x,-y,z'
'x+1/2,y+1/2,z'
'x+1/2,-y+1/2,z'
loop_
_atom_site_label
_atom_site_type_symbol
_atom_site_fract_x
_atom_site_fract_y
_atom_site_fract_z
Ca1 Ca 0.000 0.114 0.000
Ca2 Ca 0.372 0.180 0.661
La1 La 0.145 0.500 0.331
B1 B 0.189 0.304 0.245
B2 B 0.260 0.000 0.623
O1 O 0.047 0.351 0.236
O2 O 0.175 0.074 0.577
O3 O 0.180 0.228 0.063
O4 O 0.323 0.500 0.914
O5 O 0.342 0.331 0.443
O6 O 0.433 0.000 0.717
# Density of states at the Fermi level ... 0.00 states/eV/cell
# Magnetization ... 0.0 μB/f.u.
# Raw total energy ... -7.58 eV per atom
# Uncorrected formation energy ... -2992 meV/atom

***

# YMnAs2Br, relaxed, DFT PBE
data_YMnAs2Br
_symmetry_space_group_name_H-M 'P 4/m m m'
_symmetry_Int_Tables_number 123
_symmetry_space_group_name_Hall '-P 4 2'
_cell_length_a 5.496
_cell_length_b 5.496
_cell_length_c 5.414
_cell_angle_alpha 90.00
_cell_angle_beta 90.00
_cell_angle_gamma 90.00
loop_
_atom_site_label
_atom_site_type_symbol
_atom_site_fract_x
_atom_site_fract_y
_atom_site_fract_z
Y1 Y 0.000 0.000 0.000
Mn1 Mn 0.500 0.500 0.500
As1 As 0.000 0.500 0.000
Br1 Br 0.000 0.000 0.500
# Density of states at the Fermi level ... 4.68 states/eV/cell
# Magnetization ... 4.4 μB/f.u.
# Raw total energy ... -5.06 eV per atom
# Polymorph energy (0 for the lowest one) ... 0.548 eV/atom
# Uncorrected formation energy ... 262 meV/atom